Computed, not measured: a geometry-optimized Ir2Rh3 structure at the GGA-PBE level of DFT.

Unit cell a=4.2482 b=4.2482 c=5.2299 alpha=90.00 beta=90.00 gamma=120.00
Closest atoms and distances in Å follow each position.
Space group P-3m1 (No. 164)
Unique sites:
Ir1 0.3333 0.6667 0.3684 (multiplicity 2)  8 Rh 2.55-2.77, 3 Ir 2.81
Rh1 0.0000 0.0000 0.5000 (multiplicity 1)  6 Ir 2.55
Rh2 0.3333 0.6667 0.8776 (multiplicity 2)  5 Ir 2.57-2.77, 3 Rh 2.77

Values from the calculation:
Energy relative to the lowest polymorph listed for this composition   518 meV/atom



Computed, not measured: a geometry-optimized Ir5Rh4 structure at the GGA-PBE level of DFT.

Unit cell a=7.5639 b=7.5639 c=5.3673 alpha=90.00 beta=90.00 gamma=120.00
Closest atoms and distances in Å follow each position.
Space group P6_3/mcm (No. 193)
Unique sites:
Ir1 0.0000 0.3352 0.2500 (multiplicity 6)  5 Rh 2.52-2.68
Ir2 0.3333 0.6667 0.0000 (multiplicity 4)  8 Ir 2.68-2.85, 6 Rh 2.86
Rh1 0.0000 0.0000 0.0000 (multiplicity 2)  8 Rh 2.68-2.85, 6 Ir 2.87
Rh2 0.0000 0.3319 0.7500 (multiplicity 6)  5 Ir 2.52-2.68

Values from the calculation:
Energy relative to the lowest polymorph listed for this composition   311 meV/atom



Computed, not measured: a geometry-optimized Ir3Rh structure at the GGA-PBE level of DFT.

Unit cell a=4.7519 b=4.7519 c=4.7519 alpha=90.00 beta=90.00 gamma=90.00
Closest atoms and distances in Å follow each position.
Space group Pm-3m (No. 221)
Unique sites:
Ir1 0.0000 0.0000 0.5000 (multiplicity 3)  2 Rh 2.38
Rh1 0.0000 0.0000 0.0000 (multiplicity 1)  6 Ir 2.38



Computed, not measured: a geometry-optimized IrRh4 structure at the GGA-PBE level of DFT.

Unit cell a=3.5388 b=3.5388 c=12.5230 alpha=90.00 beta=90.00 gamma=90.00
Closest atoms and distances in Å follow each position.
Space group I4/mmm (No. 139)
Unique sites:
Ir1 0.0000 0.0000 0.0000 (multiplicity 2)  8 Rh 2.78
Rh1 0.0000 0.0000 0.4028 (multiplicity 4)  5 Rh 2.43-2.61
Rh2 0.0000 0.5000 0.2500 (multiplicity 4)  8 Rh 2.50-2.61

Values from the calculation:
Energy relative to the lowest polymorph listed for this composition   563 meV/atom



Computed, not measured: a geometry-optimized Ir5Rh3 structure at the GGA-PBE level of DFT.

Unit cell a=10.4467 b=9.4778 c=5.2147 alpha=90.00 beta=116.45 gamma=90.00
Closest atoms and distances in Å follow each position.
Space group C2/c (No. 15)
Unique sites:
Ir1 0.0000 0.0426 0.2500 (multiplicity 4)  4 Rh 2.71-2.75, 8 Ir 2.73
Ir2 0.1252 0.2920 0.4960 (multiplicity 8)  6 Ir 2.69-2.75, 6 Rh 2.70-2.76
Ir3 0.2492 0.0415 0.7446 (multiplicity 8)  7 Ir 2.69-2.75, 5 Rh 2.72-2.77
Rh1 0.0000 0.4583 0.7500 (multiplicity 4)  8 Ir 2.72-2.77, 4 Rh 2.72-2.75
Rh2 0.1257 0.2079 0.0023 (multiplicity 8)  9 Ir 2.70-2.76, 3 Rh 2.73-2.77

Values from the calculation:
Energy relative to the lowest polymorph listed for this composition   50 meV/atom



Computed, not measured: a geometry-optimized Ir8Rh structure at the GGA-PBE level of DFT.

Unit cell a=8.2157 b=8.2157 c=3.8648 alpha=90.00 beta=90.00 gamma=90.00
Closest atoms and distances in Å follow each position.
Space group I4/mmm (No. 139)
Unique sites:
Ir1 0.0000 0.3339 0.0000 (multiplicity 8)  11 Ir 2.73-2.74, 1 Rh 2.74
Ir2 0.1676 0.1676 0.5000 (multiplicity 8)  10 Ir 2.72-2.75, 2 Rh 2.74
Rh1 0.0000 0.0000 0.0000 (multiplicity 2)  12 Ir 2.74

Values from the calculation:
Energy relative to the lowest polymorph listed for this composition   0 meV/atom



Computed, not measured: a geometry-optimized Ir3Rh structure at the GGA-PBE level of DFT.

Unit cell a=7.3635 b=7.3659 c=4.5951 alpha=90.00 beta=90.00 gamma=90.00
Closest atoms and distances in Å follow each position.
Space group Cmcm (No. 63)
Unique sites:
Ir1 0.0000 0.0839 0.2500 (multiplicity 4)  1 Rh 2.53, 6 Ir 2.61-2.73
Ir2 0.1725 0.2418 0.7500 (multiplicity 8)  5 Ir 2.54-2.73, 2 Rh 2.72-2.75
Rh1 0.0000 0.4277 0.2500 (multiplicity 4)  5 Ir 2.53-2.75, 2 Rh 2.53



Computed, not measured: a geometry-optimized IrRh4 structure at the GGA-PBE level of DFT.

Unit cell a=3.9782 b=5.3872 c=13.5549 alpha=90.00 beta=90.00 gamma=90.00
Closest atoms and distances in Å follow each position.
Space group Imma (No. 74)
Unique sites:
Ir1 0.0000 0.2500 0.1011 (multiplicity 4)  11 Rh 2.69-2.77
Rh1 0.0000 0.9996 0.3077 (multiplicity 8)  7 Rh 2.53-2.71, 2 Ir 2.70
Rh2 0.0000 0.0000 0.5000 (multiplicity 4)  8 Rh 2.61-2.76, 4 Ir 2.77
Rh3 0.0000 0.2500 0.9004 (multiplicity 4)  3 Ir 2.69-2.72, 8 Rh 2.71-2.76

Values from the calculation:
Energy relative to the lowest polymorph listed for this composition   155 meV/atom



Computed, not measured: a geometry-optimized Ir3Rh structure at the GGA-PBE level of DFT.

Unit cell a=2.7484 b=8.8824 c=4.7510 alpha=90.00 beta=90.00 gamma=90.00
Closest atoms and distances in Å follow each position.
Space group Imm2 (No. 44)
Unique sites:
Ir1 0.0000 0.0000 0.0000 (multiplicity 2)  8 Ir 2.72-2.75, 4 Rh 2.74-2.75
Ir2 0.0000 0.2518 0.6664 (multiplicity 4)  9 Ir 2.72-2.75, 3 Rh 2.72-2.74
Rh1 0.0000 0.5000 0.0016 (multiplicity 2)  10 Ir 2.72-2.75, 2 Rh 2.75



Computed, not measured: a geometry-optimized Ir4Rh3 structure at the GGA-PBE level of DFT.

Unit cell a=3.3234 b=3.3234 c=18.7595 alpha=90.00 beta=90.00 gamma=90.00
Closest atoms and distances in Å follow each position.
Space group I4/mmm (No. 139)
Unique sites:
Ir1 0.0000 0.0000 0.0724 (multiplicity 4)  5 Rh 2.65-2.71, 5 Ir 2.69-2.72
Ir2 0.0000 0.0000 0.3583 (multiplicity 4)  6 Rh 2.66-2.71, 4 Ir 2.69
Rh1 0.0000 0.0000 0.2138 (multiplicity 4)  6 Ir 2.65-2.71, 4 Rh 2.71
Rh2 0.0000 0.0000 0.5000 (multiplicity 2)  10 Ir 2.66-2.71

Values from the calculation:
Energy relative to the lowest polymorph listed for this composition   291 meV/atom



Computed, not measured: a geometry-optimized Ir4Rh3 structure at the GGA-PBE level of DFT.

Unit cell a=4.9864 b=4.9864 c=4.8939 alpha=90.00 beta=90.00 gamma=120.00
Closest atoms and distances in Å follow each position.
Space group P6/mmm (No. 191)
Unique sites:
Ir1 0.0000 0.0000 0.2415 (multiplicity 2)  2 Ir 2.36-2.53
Ir2 0.3333 0.6667 0.0000 (multiplicity 2)  6 Rh 2.84, 9 Ir 2.88-3.11
Rh1 0.0000 0.5000 0.5000 (multiplicity 3)  4 Rh 2.49

Values from the calculation:
Energy relative to the lowest polymorph listed for this composition   543 meV/atom



Computed, not measured: a geometry-optimized Ir5Rh3 structure at the GGA-PBE level of DFT.

Unit cell a=2.7289 b=2.7289 c=15.4610 alpha=90.00 beta=90.00 gamma=90.00
Closest atoms and distances in Å follow each position.
Space group P4/mmm (No. 123)
Unique sites:
Ir1 0.0000 0.0000 0.0000 (multiplicity 1)  8 Rh 2.72, 4 Ir 2.73
Ir2 0.0000 0.0000 0.2513 (multiplicity 2)  8 Ir 2.70-2.73, 4 Rh 2.75
Ir3 0.5000 0.5000 0.3736 (multiplicity 2)  8 Ir 2.70-2.73, 4 Rh 2.75
Rh1 0.0000 0.0000 0.5000 (multiplicity 1)  4 Rh 2.73, 8 Ir 2.75
Rh2 0.5000 0.5000 0.1244 (multiplicity 2)  8 Ir 2.72-2.75, 4 Rh 2.73

Values from the calculation:
Energy relative to the lowest polymorph listed for this composition   0 meV/atom



Computed formation energy from the elements (eV per atom) in order:
0.506; 0.290; 2.710; 0.554; 0.038; -0.012; 0.322; 0.145; 0.051; 0.276; 0.529; -0.012